Record 1
First-principles (GGA-PBEsol) data for crystalline MgPb3S at its relaxed geometry, as listed in the Alexandria database.

Values from the calculation:
total magnetic moment = 0.000 μB/f.u.
E_tot = -3.0809 eV/atom
N(E_F) = 1.6 states/eV per cell
SG = Pm-3m
E_form (uncorrected) = 0.54 eV per atom

Cell: 5.3745 5.3745 5.3745 Å, 90.00 90.00 90.00°
Element x y z (fractional)
S1 0.5000 0.5000 0.5000
Pb1 0.5000 0.0000 0.0000
Pb2 0.0000 0.5000 0.0000
Mg1 0.0000 0.0000 0.0000
Pb3 0.0000 0.0000 0.5000


Record 2
First-principles (GGA-PBEsol) data for crystalline Mg2SbPb2 at its relaxed geometry, as listed in the Alexandria database.

Values from the calculation:
total magnetic moment = 0.000 μB/f.u.
E_tot = -3.0365 eV/atom
N(E_F) = 2.3 states/eV per cell
SG = I4/mmm
E_form (uncorrected) = 0.16 eV per atom

Cell: 4.1776 4.1776 8.5390 Å, 104.16 104.16 90.00°
Element x y z (fractional)
Mg1 0.7500 0.2500 0.5000
Sb1 0.0000 0.0000 0.0000
Mg2 0.2500 0.7500 0.5000
Pb1 0.4006 0.4006 0.8013
Pb2 0.5994 0.5994 0.1987


Record 3
First-principles (GGA-PBEsol) data for crystalline MgSbTe2Pb at its relaxed geometry, as listed in the Alexandria database.

Values from the calculation:
total magnetic moment = 0.000 μB/f.u.
E_tot = -3.2707 eV/atom
N(E_F) = 3.9 states/eV per cell
SG = P4/mmm
E_form (uncorrected) = 0.19 eV per atom

Cell: 5.2690 5.4374 5.4374 Å, 90.00 90.00 90.00°
Element x y z (fractional)
Te1 0.0000 0.5000 0.0000
Sb1 0.5000 0.0000 0.0000
Pb1 0.5000 0.5000 0.5000
Mg1 0.0000 0.0000 0.0000
Te2 0.0000 0.0000 0.5000


Record 4
First-principles (GGA-PBEsol) data for crystalline MgScPb2 at its relaxed geometry, as listed in the Alexandria database.

Values from the calculation:
total magnetic moment = 0.002 μB/f.u.
E_tot = -4.3068 eV/atom
N(E_F) = 3.0 states/eV per cell
calculated formation energy = -0.23 eV per atom
SG = Pmmm

Cell: 3.4063 4.2246 6.7562 Å, 90.00 90.01 90.00°
Element x y z (fractional)
Sc1 0.5000 0.5000 0.0000
Mg1 0.5000 0.5000 0.5000
Pb1 0.0001 0.0000 0.2467
Pb2 0.9999 0.0000 0.7533


Record 5
First-principles (GGA-PBEsol) data for crystalline MgSc2Pb at its relaxed geometry, as listed in the Alexandria database.

Values from the calculation:
total magnetic moment = 0.014 μB/f.u.
E_tot = -5.0227 eV/atom
N(E_F) = 3.1 states/eV per cell
calculated formation energy = -0.29 eV per atom
SG = Pmmm

Cell: 3.3817 4.1202 6.4815 Å, 90.00 90.00 90.00°
Element x y z (fractional)
Pb1 0.5000 0.5000 0.5000
Sc1 0.0000 0.0000 0.7502
Mg1 0.5000 0.5000 0.0000
Sc2 0.0000 0.0000 0.2498


Record 6
First-principles (GGA-PBEsol) data for crystalline Mg2ScPb at its relaxed geometry, as listed in the Alexandria database.

Values from the calculation:
total magnetic moment = 0.001 μB/f.u.
E_tot = -3.5854 eV/atom
N(E_F) = 3.7 states/eV per cell
calculated formation energy = -0.08 eV per atom
SG = F-43m

Cell: 5.0794 5.0794 5.0794 Å, 60.00 60.00 60.00°
Element x y z (fractional)
Mg1 0.0000 0.0000 0.0000
Mg2 0.7500 0.7500 0.7500
Sc1 0.2500 0.2500 0.2500
Pb1 0.5000 0.5000 0.5000